# 1
Here is GePtAuO after structural relaxation from the Alexandria database. Energies are from PBE.

a b c (Å): 6.9094 2.8357 6.9070
angles (deg): 90.00 92.65 90.00
With the nearest neighbours (Å) after each atom.
Space group Cm (No. 8)
Asymmetric unit:
Ge 0.0000 0.0000 0.0000 (multiplicity 2)  2 O 1.87
Pt 0.2113 0.5000 0.7871 (multiplicity 2)  3 Ge 2.42-2.55
Au 0.4010 0.0000 0.4995 (multiplicity 2)  1 O 2.35
O 0.4933 0.0000 0.1763 (multiplicity 2)  2 Ge 1.87

Values from the calculation:
**ΔE_f (raw)**: -1.98 eV per formula unit
**ΔE to the lowest computed polymorph**: 18.3 meV per atom
**Total magnetization**: 0.00 μB/f.u.

---

# 2
Here is GePtAuO after structural relaxation from the Alexandria database. Energies are from PBE.

a b c (Å): 6.6379 2.8162 7.7462
angles (deg): 90.00 111.35 90.00
With the nearest neighbours (Å) after each atom.
Space group Cm (No. 8)
Asymmetric unit:
Ge 0.0000 0.0000 0.0000 (multiplicity 2)  2 O 1.86
Pt 0.1900 0.0000 0.7856 (multiplicity 2)  3 Ge 2.42-2.55
Au 0.2902 0.5000 0.4976 (multiplicity 2)  1 O 2.42
O 0.0863 0.5000 0.1675 (multiplicity 2)  2 Ge 1.86

Values from the calculation:
**ΔE_f (raw)**: -1.89 eV per formula unit
**ΔE to the lowest computed polymorph**: 41.1 meV per atom
**Total magnetization**: 0.00 μB/f.u.

---

# 3
Here is GePtAuO after structural relaxation from the Alexandria database. Energies are from PBE.

a b c (Å): 2.8276 3.4551 14.2365
angles (deg): 90.00 90.00 90.00
With the nearest neighbours (Å) after each atom.
Space group Amm2 (No. 38)
Asymmetric unit:
Ge 0.0000 0.0000 0.0000 (multiplicity 2)  2 O 1.82
Pt 0.0000 0.0000 0.6174 (multiplicity 2)  2 Ge 2.40
Au 0.5000 0.0000 0.2467 (multiplicity 2)  2 Au 2.83, 4 Pt 2.89, 2 O 3.01
O 0.5000 0.0000 0.9196 (multiplicity 2)  2 Ge 1.82

Values from the calculation:
**ΔE_f (raw)**: -2.03 eV per formula unit
**ΔE to the lowest computed polymorph**: 6.4 meV per atom
**Total magnetization**: 0.00 μB/f.u.

---

# 4
Here is Ge2PtAuO after structural relaxation from the Alexandria database. Energies are from PBE.

a b c (Å): 5.0633 5.0633 3.8647
angles (deg): 90.00 90.00 90.00
With the nearest neighbours (Å) after each atom.
Space group P4/mmm (No. 123)
Asymmetric unit:
Ge 0.0000 0.5000 0.0000 (multiplicity 2)  2 Au 2.53
Pt 0.0000 0.0000 0.5000 (multiplicity 1)  8 Ge 3.18
Au 0.5000 0.5000 0.0000 (multiplicity 1)  2 O 1.93
O 0.5000 0.5000 0.5000 (multiplicity 1)  2 Au 1.93

Values from the calculation:
**ΔE_f (raw)**: 3.15 eV per formula unit
**Total magnetization**: 0.00 μB/f.u.

---

# 5
Here is GePtAuO after structural relaxation from the Alexandria database. Energies are from PBE.

a b c (Å): 14.0869 2.7962 3.3374
angles (deg): 90.00 90.13 90.00
With the nearest neighbours (Å) after each atom.
Space group Cm (No. 8)
Asymmetric unit:
Ge 0.0000 0.0000 0.0000 (multiplicity 2)  2 O 1.87
Pt 0.3987 0.0000 0.4989 (multiplicity 2)  4 Ge 2.60, 2 Pt 2.80
Au 0.2571 0.5000 0.9962 (multiplicity 2)  1 O 2.38
O 0.0880 0.5000 0.0008 (multiplicity 2)  2 Ge 1.87

Values from the calculation:
**ΔE_f (raw)**: -1.76 eV per formula unit
**ΔE to the lowest computed polymorph**: 73.8 meV per atom
**Total magnetization**: 0.00 μB/f.u.

---

# 6
Here is GePtAuO after structural relaxation from the Alexandria database. Energies are from PBE.

a b c (Å): 3.7478 3.7478 5.6662
angles (deg): 90.00 90.00 120.00
With the nearest neighbours (Å) after each atom.
Space group P3m1 (No. 156)
Asymmetric unit:
Ge 0.0000 0.0000 0.0000 (multiplicity 1)  1 O 1.79
Pt 0.6667 0.3333 0.1968 (multiplicity 1)  3 Ge 2.43
Au 0.3333 0.6667 0.4905 (multiplicity 1)  3 O 2.43
O 0.0000 0.0000 0.6846 (multiplicity 1)  1 Ge 1.79

Values from the calculation:
**ΔE_f (raw)**: -1.46 eV per formula unit
**ΔE to the lowest computed polymorph**: 148.1 meV per atom
**Total magnetization**: 0.00 μB/f.u.

---

# 7
Here is GePtAuO after structural relaxation from the Alexandria database. Energies are from PBE.

a b c (Å): 3.3936 2.8343 7.3599
angles (deg): 90.00 90.16 90.00
With the nearest neighbours (Å) after each atom.
Space group Pm (No. 6)
Asymmetric unit:
Ge 0.0000 0.0000 0.0000 (multiplicity 1)  2 O 1.82
Pt 0.4986 0.0000 0.7692 (multiplicity 1)  2 Ge 2.40
Au 0.9969 0.5000 0.5148 (multiplicity 1)  1 O 2.65, 2 Au 2.83, 4 Pt 2.90
O 0.0011 0.5000 0.1550 (multiplicity 1)  2 Ge 1.82

Values from the calculation:
**ΔE_f (raw)**: -2.06 eV per formula unit
**ΔE to the lowest computed polymorph**: 0.0 meV per atom
**Total magnetization**: 0.00 μB/f.u.

---

# 8
Here is GePtAuO after structural relaxation from the Alexandria database. Energies are from PBE.

a b c (Å): 2.8892 4.9033 4.7981
angles (deg): 90.00 90.00 90.00
With the nearest neighbours (Å) after each atom.
Space group Pmm2 (No. 25)
Asymmetric unit:
Ge 0.0000 0.0000 0.0000 (multiplicity 1)  2 O 1.89
Pt 0.0000 0.5000 0.1246 (multiplicity 1)  2 Ge 2.52, 2 Au 2.76
Au 0.5000 0.5000 0.6157 (multiplicity 1)  2 O 2.53, 2 Pt 2.76
O 0.5000 0.0000 0.7460 (multiplicity 1)  2 Ge 1.89

Values from the calculation:
**ΔE_f (raw)**: -1.48 eV per formula unit
**ΔE to the lowest computed polymorph**: 143.5 meV per atom
**Total magnetization**: 0.00 μB/f.u.